Tl5Bi3S12: optimized geometry, PBE.

For the uncorrected formation energy, the calculation gives -1.81 eV per formula unit. As for the crystal system: cubic.

a = 14.005 Å, b = 14.005 Å, c = 14.005 Å
α = 109.47°, β = 109.47°, γ = 109.47°
Element x y z (fractional)
Bi 0.750 0.375 0.125
Bi 0.875 0.750 0.125
Bi 0.375 0.750 0.625
Bi 0.250 0.125 0.375
Bi 0.875 0.125 0.250
Bi 0.375 0.625 0.250
Bi 0.625 0.375 0.750
Bi 0.125 0.875 0.750
Bi 0.750 0.875 0.625
Bi 0.625 0.250 0.375
Bi 0.125 0.250 0.875
Bi 0.250 0.625 0.875
Tl 0.125 0.375 0.250
Tl 0.000 0.500 0.000
Tl 0.000 0.000 0.000
Tl 0.375 0.250 0.125
Tl 0.500 0.000 0.500
Tl 0.500 0.500 0.000
Tl 0.125 0.750 0.375
Tl 0.750 0.125 0.875
Tl 0.750 0.625 0.375
Tl 0.375 0.125 0.750
Tl 0.625 0.875 0.250
Tl 0.500 0.500 0.500
Tl 0.500 0.000 0.000
Tl 0.000 0.000 0.500
Tl 0.250 0.375 0.625
Tl 0.250 0.875 0.125
Tl 0.000 0.500 0.500
Tl 0.875 0.250 0.625
Tl 0.625 0.750 0.875
Tl 0.875 0.625 0.750
S 0.719 0.133 0.046
S 0.327 0.546 0.413
S 0.954 0.367 0.281
S 0.546 0.219 0.133
S 0.586 0.719 0.673
S 0.954 0.587 0.173
S 0.327 0.781 0.414
S 0.087 0.914 0.133
S 0.587 0.954 0.673
S 0.719 0.586 0.173
S 0.781 0.454 0.367
S 0.827 0.913 0.046
S 0.133 0.719 0.546
S 0.367 0.413 0.086
S 0.086 0.913 0.367
S 0.414 0.133 0.587
S 0.086 0.173 0.219
S 0.454 0.673 0.087
S 0.827 0.914 0.281
S 0.133 0.414 0.087
S 0.367 0.954 0.781
S 0.587 0.633 0.414
S 0.913 0.827 0.546
S 0.781 0.327 0.914
S 0.413 0.367 0.586
S 0.087 0.173 0.454
S 0.219 0.673 0.086
S 0.173 0.086 0.719
S 0.633 0.046 0.219
S 0.867 0.586 0.913
S 0.546 0.327 0.913
S 0.586 0.867 0.413
S 0.914 0.827 0.781
S 0.914 0.087 0.633
S 0.867 0.281 0.454
S 0.173 0.087 0.954
S 0.633 0.587 0.914
S 0.413 0.046 0.327
S 0.281 0.414 0.827
S 0.219 0.546 0.633
S 0.913 0.086 0.867
S 0.673 0.219 0.586
S 0.454 0.781 0.867
S 0.046 0.413 0.827
S 0.414 0.281 0.327
S 0.046 0.633 0.719
S 0.673 0.454 0.587
S 0.281 0.867 0.954

***

Ac3LaRu: optimized geometry, PBE.

Its energy above the lowest structure with this stoichiometry is 67 meV/atom. As for the crystal system: monoclinic.

a = 7.547 Å, b = 7.305 Å, c = 13.788 Å
α = 90.00°, β = 89.27°, γ = 90.00°
Element x y z (fractional)
Ac 0.613 0.253 0.462
Ac 0.613 0.747 0.962
Ac 0.240 0.522 0.788
Ac 0.109 0.764 0.045
Ac 0.240 0.478 0.288
Ac 0.387 0.747 0.538
Ac 0.891 0.764 0.455
Ac 0.760 0.522 0.712
Ac 0.891 0.236 0.955
Ac 0.760 0.478 0.212
Ac 0.387 0.253 0.038
Ac 0.109 0.236 0.545
La 0.239 0.987 0.281
La 0.761 0.987 0.219
La 0.239 0.013 0.781
La 0.761 0.013 0.719
Ru 0.060 0.188 0.144
Ru 0.060 0.812 0.644
Ru 0.940 0.188 0.356
Ru 0.940 0.812 0.856

***

KTlCr: optimized geometry, PBE.

Its energy above the lowest structure with this stoichiometry is 0 meV/atom. As for the crystal system: orthorhombic.

a = 6.880 Å, b = 6.880 Å, c = 6.880 Å
α = 151.62°, β = 142.52°, γ = 47.68°
Element x y z (fractional)
Cr 0.055 0.055 0.000
K 0.331 0.331 0.000
Tl 0.614 0.614 0.000

***

no.,electronic total energy (Ha/atom)
1,-0.1375
2,-0.1988
3,-0.1403